No. 1
Density functional theory data (PBE) for an optimized crystal structure of Be2TcMoSe.

Space-group type: P4/mmm (123)
Uncorrected formation energy, eV/f.u.: 5.59
E, eV per formula unit: -26.5

Geometry as extended XYZ:
```
5
Lattice="4.2368 0.0000 0.0000 0.0000 4.7670 0.0000 0.0000 0.0000 4.2368" Properties=species:S:1:pos:R:3 pbc="T T T"
Be 0.0000 0.0000 2.1184
Be 2.1184 0.0000 0.0000
Mo 0.0000 2.3835 0.0000
Tc 0.0000 0.0000 0.0000
Se 2.1184 2.3835 2.1184
```

---

No. 2
Density functional theory data (PBE) for an optimized crystal structure of Be2VMoSe.

Space-group type: P4/mmm (123)
Uncorrected formation energy, eV/f.u.: 5.57
E, eV per formula unit: -25.3

Geometry as extended XYZ:
```
5
Lattice="4.2024 0.0000 0.0000 0.0000 4.4583 0.0000 0.0000 0.0000 4.2024" Properties=species:S:1:pos:R:3 pbc="T T T"
Be 0.0000 0.0000 2.1012
Be 2.1012 0.0000 0.0000
Mo 2.1012 2.2292 2.1012
Se 0.0000 2.2292 0.0000
V 0.0000 0.0000 0.0000
```

---

No. 3
Density functional theory data (PBE) for an optimized crystal structure of BeSi2Mo.

Excess energy over the best structure of this formula in the dataset, meV per atom: 512.8
Space-group type: Fm-3m (225)
Uncorrected formation energy, eV/f.u.: 1.33
E, eV per formula unit: -24.1

Geometry as extended XYZ:
```
4
Lattice="-0.6384 -0.0947 4.1547 -2.7697 2.6272 1.7618 -3.6211 -1.4840 1.5372" Properties=species:S:1:pos:R:3 pbc="T T T"
Be 0.0000 0.0000 0.0000
Mo -3.5146 0.5243 3.7268
Si -1.7573 0.2621 1.8634
Si -5.2719 0.7864 5.5902
```

---

No. 4
Density functional theory data (PBE) for an optimized crystal structure of BeSiMo2.

Excess energy over the best structure of this formula in the dataset, meV per atom: 195.7
Space-group type: C2/c (15)
Uncorrected formation energy, eV/f.u.: -0.36
E, eV per formula unit: -31.2

Geometry as extended XYZ:
```
8
Lattice="4.4730 0.0000 1.3462 1.9764 4.0408 1.5373 0.4989 0.4935 6.4466" Properties=species:S:1:pos:R:3 pbc="T T T"
Be 5.0042 3.1540 3.7870
Be 1.9442 1.3803 5.5431
Si 4.1160 1.3803 6.1967
Si 2.8324 3.1540 3.1334
Mo 1.5240 0.9922 3.1666
Mo 5.4244 3.5421 6.1635
Mo 2.6921 3.2593 7.1376
Mo 4.2562 1.2750 2.1925
```

---

No. 5
Density functional theory data (PBE) for an optimized crystal structure of Be2SiMo.

Excess energy over the best structure of this formula in the dataset, meV per atom: 668.3
Space-group type: Fm-3m (225)
Uncorrected formation energy, eV/f.u.: 1.29
E, eV per formula unit: -22.4

Geometry as extended XYZ:
```
4
Lattice="-2.6473 -2.5648 1.5123 -3.8283 0.2195 -1.0811 -1.5809 -2.8291 -2.3174" Properties=species:S:1:pos:R:3 pbc="T T T"
Be -2.0141 -1.2936 -0.4715
Be -6.0424 -3.8808 -1.4146
Mo -4.0283 -2.5872 -0.9431
Si 0.0000 0.0000 0.0000
```

---

No. 6
Density functional theory data (PBE) for an optimized crystal structure of BeSiMo2.

Excess energy over the best structure of this formula in the dataset, meV per atom: 273.2
Space-group type: F-43m (216)
Uncorrected formation energy, eV/f.u.: -0.05
E, eV per formula unit: -30.9

Geometry as extended XYZ:
```
4
Lattice="-2.9312 0.3574 -3.0340 -3.1670 -2.8007 -0.2242 -3.9428 1.1790 0.9942" Properties=species:S:1:pos:R:3 pbc="T T T"
Be -5.0205 -0.6322 -1.1320
Mo 0.0000 0.0000 0.0000
Mo -2.5103 -0.3161 -0.5660
Si -7.5308 -0.9482 -1.6980
```

---

No. 7
Density functional theory data (PBE) for an optimized crystal structure of BeSi2Mo.

Excess energy over the best structure of this formula in the dataset, meV per atom: 247.6
Space-group type: Cm (8)
Uncorrected formation energy, eV/f.u.: 0.27
E, eV per formula unit: -25.1

Geometry as extended XYZ:
```
4
Lattice="4.7554 0.0009 -0.0306 3.9880 2.5904 -0.0306 0.2441 0.0723 4.3035" Properties=species:S:1:pos:R:3 pbc="T T T"
Be 4.6188 1.3689 2.1012
Mo 2.3136 0.6857 1.0412
Si 8.6841 2.5737 0.0088
Si 6.6080 1.9584 3.1512
```

---

No. 8
Density functional theory data (PBE) for an optimized crystal structure of BeSiMo2.

Excess energy over the best structure of this formula in the dataset, meV per atom: 724.4
Space-group type: I-42d (122)
Uncorrected formation energy, eV/f.u.: 1.75
E, eV per formula unit: -29.1

Geometry as extended XYZ:
```
8
Lattice="-0.4916 -3.4150 -1.2180 3.6242 -0.4989 -0.0639 1.3072 -4.9146 7.7561" Properties=species:S:1:pos:R:3 pbc="T T T"
Be 1.5663 -1.9570 -0.6410
Be 3.2489 -3.6853 3.5256
Mo 0.4785 -3.3846 1.1843
Mo 2.5246 -2.0082 1.7323
Mo 2.1985 -5.1597 5.3356
Mo 3.6781 -7.1047 4.6961
Si 0.0000 0.0000 0.0000
Si 1.1910 -5.1433 2.9485
```

---

No. 9
Density functional theory data (PBE) for an optimized crystal structure of BeSi2Mo.

Excess energy over the best structure of this formula in the dataset, meV per atom: 0.0
Space-group type: P4mm (99)
Uncorrected formation energy, eV/f.u.: -0.72
E, eV per formula unit: -26.1

Geometry as extended XYZ:
```
4
Lattice="-2.7220 0.4368 1.7312 0.8585 -2.4473 1.9673 2.3455 3.1487 2.8934" Properties=species:S:1:pos:R:3 pbc="T T T"
Be 1.1507 1.5448 1.4196
Mo 0.8435 1.3780 4.0393
Si 2.3219 3.1171 2.8644
Si -0.3160 -0.1787 2.6088
```

---

No. 10
Density functional theory data (PBE) for an optimized crystal structure of BeSiMo2.

Excess energy over the best structure of this formula in the dataset, meV per atom: 271.0
Space-group type: P2/m (10)
Uncorrected formation energy, eV/f.u.: -0.06
E, eV per formula unit: -30.9

Geometry as extended XYZ:
```
4
Lattice="-3.3866 1.4932 1.0689 -1.2182 -1.3132 -2.0252 -1.3217 -4.6313 2.2824" Properties=species:S:1:pos:R:3 pbc="T T T"
Be -3.5982 -3.7118 0.7273
Mo -1.3311 -4.6179 2.2338
Mo -1.2605 -2.9857 0.1772
Si -2.3283 -0.7395 0.5987
```

---

No. 11
Density functional theory data (PBE) for an optimized crystal structure of Be2SiMo.

Excess energy over the best structure of this formula in the dataset, meV per atom: 726.9
Space-group type: R-3m (166)
Uncorrected formation energy, eV/f.u.: 1.52
E, eV per formula unit: -22.2

Geometry as extended XYZ:
```
4
Lattice="7.9271 -0.0102 -0.0060 7.4649 2.6674 -0.0060 7.4649 1.2887 2.3355" Properties=species:S:1:pos:R:3 pbc="T T T"
Be 0.0894 0.0154 0.0091
Be 11.3391 1.9576 1.1527
Mo 5.7142 0.9865 0.5809
Si 17.1427 2.9595 1.7426
```

---

No. 12
Density functional theory data (PBE) for an optimized crystal structure of Be2SiMo.

Excess energy over the best structure of this formula in the dataset, meV per atom: 456.9
Space-group type: C2/m (12)
Uncorrected formation energy, eV/f.u.: 0.44
E, eV per formula unit: -23.3

Geometry as extended XYZ:
```
4
Lattice="-1.8848 -3.1919 -3.1643 3.8252 -1.1589 1.9330 -1.1772 -1.7836 1.4969" Properties=species:S:1:pos:R:3 pbc="T T T"
Be 0.0000 0.0000 0.0000
Be 1.3240 -1.4712 1.7149
Mo 0.9702 -2.1754 -0.6157
Si -1.5310 -2.4878 -0.8337
```

---

No. 13
Density functional theory data (PBE) for an optimized crystal structure of Be2SiMo.

Excess energy over the best structure of this formula in the dataset, meV per atom: 640.9
Space-group type: I-42d (122)
Uncorrected formation energy, eV/f.u.: 1.18
E, eV per formula unit: -22.5

Geometry as extended XYZ:
```
8
Lattice="-5.1899 -2.7505 2.4446 -1.7216 -1.9205 -5.8159 -2.2242 -4.3827 -1.3742" Properties=species:S:1:pos:R:3 pbc="T T T"
Be -3.9019 -2.9949 0.4041
Be -2.3939 -2.6997 -3.6196
Be -4.2975 -5.0805 -2.4216
Be -7.6782 -7.3323 -3.8538
Mo 0.0000 0.0000 0.0000
Mo -5.4349 -4.7343 -0.3076
Si -3.4558 -2.3355 -1.6856
Si -3.7008 -4.3194 -4.4379
```

---

No. 14
Density functional theory data (PBE) for an optimized crystal structure of BeSiMo2.

Excess energy over the best structure of this formula in the dataset, meV per atom: 309.3
Space-group type: Fm-3m (225)
Uncorrected formation energy, eV/f.u.: 0.09
E, eV per formula unit: -30.7

Geometry as extended XYZ:
```
4
Lattice="0.0000 2.9769 2.9769 2.9769 0.0000 2.9769 2.9769 2.9769 0.0000" Properties=species:S:1:pos:R:3 pbc="T T T"
Be 0.0000 0.0000 0.0000
Mo 1.4884 1.4884 1.4884
Mo 4.4653 4.4653 4.4653
Si 2.9769 2.9769 2.9769
```

---

No. 15
Density functional theory data (PBE) for an optimized crystal structure of Be2SiMo.

Excess energy over the best structure of this formula in the dataset, meV per atom: 276.5
Space-group type: Pmm2 (25)
Uncorrected formation energy, eV/f.u.: -0.28
E, eV per formula unit: -24.0

Geometry as extended XYZ:
```
4
Lattice="3.8849 0.0000 0.0000 0.0000 2.6537 -0.0028 0.0000 0.0047 4.6092" Properties=species:S:1:pos:R:3 pbc="T T T"
Be 0.0000 2.6531 0.0592
Be 1.9424 0.0016 1.1372
Mo 0.0000 1.3288 2.2944
Si 1.9424 0.0040 3.4188
```